(1)
Compound: SrZr4P6O24
Source: Alexandria via LeMat-Bulk
Functional: GGA-PBEsol
Structure: optimized geometry

abc: 9.2796 9.2796 9.2796
angles: 56.52 56.52 56.52
With the nearest neighbours (Å) after each atom.
Fractional coordinates of all 35 atoms:
Sr: 0.0000 0.0000 0.0000  6 O 2.58
Zr: 0.1492 0.1492 0.1492  6 O 2.02-2.13
Zr: 0.3571 0.3571 0.3571  6 O 2.04-2.10
Zr: 0.6429 0.6429 0.6429  6 O 2.04-2.10
Zr: 0.8508 0.8508 0.8508  6 O 2.02-2.13
P: 0.0295 0.4572 0.7561  4 O 1.53-1.55
P: 0.2439 0.9705 0.5428  4 O 1.53-1.55
P: 0.4572 0.7561 0.0295  4 O 1.53-1.55
P: 0.5428 0.2439 0.9705  4 O 1.53-1.55
P: 0.7561 0.0295 0.4572  4 O 1.53-1.55
P: 0.9705 0.5428 0.2439  4 O 1.53-1.55
O: 0.0034 0.3869 0.2002  1 P 1.54
O: 0.0828 0.2693 0.9106  1 P 1.55
O: 0.0894 0.9172 0.7307  1 P 1.55
O: 0.1471 0.5186 0.2457  1 P 1.53
O: 0.1880 0.4545 0.5705  1 P 1.53
O: 0.2002 0.0034 0.3869  1 P 1.54
O: 0.2457 0.1471 0.5186  1 P 1.53
O: 0.2693 0.9106 0.0828  1 P 1.55
O: 0.3869 0.2002 0.0034  1 P 1.54
O: 0.4295 0.8120 0.5455  1 P 1.53
O: 0.4545 0.5705 0.1880  1 P 1.53
O: 0.4814 0.7543 0.8529  1 P 1.53
O: 0.5186 0.2457 0.1471  1 P 1.53
O: 0.5455 0.4295 0.8120  1 P 1.53
O: 0.5705 0.1880 0.4545  1 P 1.53
O: 0.6131 0.7998 0.9966  1 P 1.54
O: 0.7307 0.0894 0.9172  1 P 1.55
O: 0.7543 0.8529 0.4814  1 P 1.53
O: 0.7998 0.9966 0.6131  1 P 1.54
O: 0.8120 0.5455 0.4295  1 P 1.53
O: 0.8529 0.4814 0.7543  1 P 1.53
O: 0.9106 0.0828 0.2693  1 P 1.55
O: 0.9172 0.7307 0.0894  1 P 1.55
O: 0.9966 0.6131 0.7998  1 P 1.54

Results
The total energy is -8.509 eV per atom. As for the spin magnetization: 0.001 μB per cell.


(2)
Compound: TbGeRu
Source: Alexandria via LeMat-Bulk
Functional: GGA-PBEsol
Structure: optimized geometry

abc: 6.9729 4.4024 7.1080
angles: 90.00 90.00 90.00
With the nearest neighbours (Å) after each atom.
Fractional coordinates of all 12 atoms:
Tb: 0.0177 0.2500 0.1900  4 Ru 2.91-2.97, 6 Ge 3.01-3.23
Tb: 0.4823 0.7500 0.6900  4 Ru 2.91-2.97, 6 Ge 3.01-3.23
Tb: 0.5177 0.2500 0.3100  4 Ru 2.91-2.97, 6 Ge 3.01-3.23
Tb: 0.9823 0.7500 0.8100  4 Ru 2.91-2.97, 6 Ge 3.01-3.23
Ge: 0.2012 0.2500 0.6071  4 Ru 2.50-2.55
Ge: 0.2988 0.7500 0.1071  4 Ru 2.50-2.55
Ge: 0.7012 0.2500 0.8929  4 Ru 2.50-2.55
Ge: 0.7988 0.7500 0.3929  4 Ru 2.50-2.55
Ru: 0.1541 0.7500 0.4364  4 Ge 2.50-2.55
Ru: 0.3459 0.2500 0.9364  4 Ge 2.50-2.55
Ru: 0.6541 0.7500 0.0636  4 Ge 2.50-2.55
Ru: 0.8459 0.2500 0.5636  4 Ge 2.50-2.55

Results
As for the spin magnetization: 0.001 μB per cell. Its formation energy is -726 meV/atom.


(3)
Compound: Si4Pt
Source: Alexandria via LeMat-Bulk
Functional: GGA-PBEsol
Structure: optimized geometry

abc: 4.6095 4.6095 4.6095
angles: 103.55 103.55 122.09
With the nearest neighbours (Å) after each atom.
Fractional coordinates of all 5 atoms:
Si: 0.1027 0.6998 0.8025  1 Pt 2.54, 3 Si 2.56
Si: 0.3002 0.1027 0.4029  1 Pt 2.54, 3 Si 2.56
Si: 0.6998 0.8973 0.5971  1 Pt 2.54, 3 Si 2.56
Si: 0.8973 0.3002 0.1975  1 Pt 2.54, 3 Si 2.56
Pt: 0.5000 0.5000 0.0000  4 Si 2.54

Results
The total energy is -5.880 eV per atom. As for the spin magnetization: 0.000 μB per cell.


(4)
Compound: Na2MgAs2
Source: Alexandria via LeMat-Bulk
Functional: GGA-PBEsol
Structure: optimized geometry

abc: 8.3235 8.3235 3.0222
angles: 90.00 90.00 90.00
With the nearest neighbours (Å) after each atom.
Fractional coordinates of all 10 atoms:
Na: 0.1144 0.3856 0.0000  1 Na 2.69, 6 As 2.79-2.98
Na: 0.3856 0.8856 0.0000  1 Na 2.69, 6 As 2.79-2.98
Na: 0.6144 0.1144 0.0000  1 Na 2.69, 6 As 2.79-2.98
Na: 0.8856 0.6144 0.0000  1 Na 2.69, 6 As 2.79-2.98
Mg: 0.0000 0.0000 0.0000  2 Mg 3.02, 4 Na 3.35
Mg: 0.5000 0.5000 0.0000  2 Mg 3.02, 4 Na 3.35
As: 0.1862 0.6862 0.5000  6 Na 2.79-2.98, 2 As 3.02
As: 0.3138 0.1862 0.5000  6 Na 2.79-2.98, 2 As 3.02
As: 0.6862 0.8138 0.5000  6 Na 2.79-2.98, 2 As 3.02
As: 0.8138 0.3138 0.5000  6 Na 2.79-2.98, 2 As 3.02

Results
As for the spin magnetization: 0.000 μB per cell. Its formation energy is -106 meV/atom.


(5)
Compound: Sr2ZnNiRu
Source: Alexandria via LeMat-Bulk
Functional: GGA-PBEsol
Structure: optimized geometry

abc: 5.6212 5.6212 4.3828
angles: 90.00 90.00 90.00
With the nearest neighbours (Å) after each atom.
Fractional coordinates of all 5 atoms:
Sr: 0.0000 0.5000 0.0000  2 Ru 2.81
Sr: 0.5000 0.0000 0.0000  2 Ru 2.81
Zn: 0.0000 0.0000 0.5000  8 Sr 3.56, 4 Ni 3.97
Ni: 0.5000 0.5000 0.5000  2 Ru 2.19
Ru: 0.5000 0.5000 0.0000  2 Ni 2.19

Results
As for the spin magnetization: 0.001 μB per cell. Its formation energy is 548 meV/atom.


(6)
Compound: CdGaMo3
Source: Alexandria via LeMat-Bulk
Functional: GGA-PBEsol
Structure: optimized geometry

abc: 4.5658 4.5658 4.5658
angles: 90.00 90.00 90.00
With the nearest neighbours (Å) after each atom.
Fractional coordinates of all 5 atoms:
Cd: 0.0000 0.0000 0.0000  12 Mo 3.23
Ga: 0.5000 0.5000 0.5000  6 Mo 2.28
Mo: 0.0000 0.5000 0.5000  2 Ga 2.28
Mo: 0.5000 0.0000 0.5000  2 Ga 2.28
Mo: 0.5000 0.5000 0.0000  2 Ga 2.28

Results
As for the spin magnetization: 0.002 μB per cell. Its formation energy is 1500 meV/atom.


Which value of spin magnetization does entry 4 give? 0.000 μB per cell